(1)
## YZrGe3 (PBE-GGA)

Data for crystalline YZrGe3 at its relaxed geometry.

Unit cell a=5.100 b=5.100 c=5.100 alpha=90.00 beta=90.00 gamma=90.00
Sites, in units of the cell vectors:
Ge1 0.000 0.000 0.500
Y1 0.500 0.500 0.500
Zr1 0.000 0.000 0.000
Ge2 0.000 0.500 0.000
Ge3 0.500 0.000 0.000

## Properties
D(E_F), states/eV per atom: 0.567
DFT formation energy, meV per atom: 53
M_tot, Bohr magnetons per cell: 0.00
Symmetry: Pm-3m, No. 221

***

(2)
## KGaH2 (PBE-GGA)

Data for crystalline KGaH2 at its relaxed geometry.

Unit cell a=4.979 b=4.979 c=6.761 alpha=68.39 beta=68.39 gamma=90.00
Sites, in units of the cell vectors:
H1 0.873 0.125 0.250
H2 0.375 0.127 0.750
H3 0.875 0.123 0.750
H4 0.877 0.625 0.250
K1 0.500 0.500 0.000
Ga1 0.750 0.250 0.500
K2 0.250 0.750 0.500
Ga2 0.000 0.000 0.000

## Properties
D(E_F), states/eV per atom: 0.138
M_tot, Bohr magnetons per cell: 0.00
Symmetry: I-42d, No. 122
VASP energy, eV/f.u.: -10.3

***

(3)
## In3PbW (PBE-GGA)

Data for crystalline In3PbW at its relaxed geometry.

Unit cell a=5.692 b=5.692 c=5.692 alpha=90.00 beta=90.00 gamma=90.00
Site moments in Bohr magnetons follow the coordinates.
Sites, in units of the cell vectors:
W1 0.500 0.500 0.500  -3.32
In1 0.000 0.000 0.500  -0.01
In2 0.000 0.500 0.000  0.01
In3 0.500 0.000 0.000  0.02
Pb1 0.000 0.000 0.000  -0.04

## Properties
D(E_F), states/eV per atom: 1.139
DFT formation energy, meV per atom: 1715
M_tot, Bohr magnetons per cell: 4.57
Symmetry: Pm-3m, No. 221